(1)
## Dy2Zn2Co2C (GGA-PBE)

Data for a relaxed Dy2Zn2Co2C crystal.

The total magnetization is 0.000 μB per atom. Its crystal system is monoclinic. Its volume is 16.48 Å³ per atom. Its calculated density is 8.4 Mg/m³.

The space group is C2/m (No. 12) and the conventional cell measures 10.729, 3.880 and 7.014 Å, with angles of 90.00, 127.81 and 90.00 degrees. The distinct sites, in fractional coordinates, are Dy at (0.054, 0.000, 0.281), Zn at (0.153, 0.500, 0.697), Co at (0.191, 0.500, 0.081) and C at (0.000, 0.500, 0.000).


(2)
## Dy2ZnCoC (GGA-PBE)

Data for a relaxed Dy2ZnCoC crystal.

The total magnetization is 0.000 μB per atom. Its crystal system is tetragonal. Its volume is 18.05 Å³ per atom. Its calculated density is 8.5 Mg/m³.

The space group is P4/mmm (No. 123) and the conventional cell measures 4.987, 4.987 and 3.628 Å, with angles of 90.00, 90.00 and 90.00 degrees. The distinct sites, in fractional coordinates, are Dy at (0.000, 0.500, 0.000), Zn at (0.000, 0.000, 0.500), Co at (0.500, 0.500, 0.500) and C at (0.500, 0.500, 0.000).


Short version: formation enthalpy at 0 K = -2.1; -1.8 eV per formula unit, in the order given.